First-principles (PBE) data for crystalline BaBe2VRh at its relaxed geometry, as listed in the Alexandria database.

POSCAR file:
```
BaBe2VRh
1.0
-0.273 -2.249 -3.815
-1.691 -3.480 2.172
-5.090 1.973 -0.800
Be Rh Ba V
2 1 1 1
direct
0.000 0.500 0.000 Be
0.500 0.000 0.000 Be
0.000 0.000 0.000 Rh
0.000 0.000 0.500 Ba
0.500 0.500 0.500 V
```

The formation energy comes out at 5.8 eV/f.u. Its space group is No. 123. As for the final energy: -4.01 eV per atom. The value obtained for the density of states at the Fermi level is 1.656 states/eV per atom.